1.
Material: TaTl5S4Cl2
Method: DFT, GGA-PBE
State: relaxed

The space group is Amm2 (No. 38) and the conventional cell measures 9.831, 10.212 and 8.054 Å, with angles of 90.00, 90.00 and 90.00 degrees. The asymmetric unit holds Ta at (0.000, 0.000, 0.000), Tl at (0.241, 0.204, 0.548), Tl at (0.500, 0.000, 0.068), S at (0.000, 0.185, 0.840), S at (0.191, 0.000, 0.162) and Cl at (0.500, 0.231, 0.812).

The calculation puts the spin magnetization at 0.000 μB per formula unit.

2.
Material: TaTlS2Cl
Method: DFT, GGA-PBE
State: relaxed

The space group is P4/mmm (No. 123) and the conventional cell measures 5.109, 5.109 and 5.005 Å, with angles of 90.00, 90.00 and 90.00 degrees. The asymmetric unit holds Ta at (0.000, 0.000, 0.000), Tl at (0.500, 0.500, 0.500), S at (0.000, 0.500, 0.500) and Cl at (0.500, 0.500, 0.000).

The excess energy over the best structure of this formula in the dataset comes out at 1816 meV per atom. The calculation puts the spin magnetization at 2.743 μB per formula unit.

3.
Material: TaVSCl2
Method: DFT, GGA-PBE
State: relaxed

The space group is P4/mmm (No. 123) and the conventional cell measures 4.635, 4.635 and 4.895 Å, with angles of 90.00, 90.00 and 90.00 degrees. The asymmetric unit holds Ta at (0.000, 0.000, 0.000), V at (0.500, 0.500, 0.500), S at (0.500, 0.500, 0.000) and Cl at (0.000, 0.500, 0.500).

The excess energy over the best structure of this formula in the dataset comes out at 282 meV per atom. The calculation puts the spin magnetization at 5.988 μB per formula unit.

4.
Material: TaVSCl2
Method: DFT, GGA-PBE
State: relaxed

The space group is P4/mmm (No. 123) and the conventional cell measures 4.827, 4.827 and 4.836 Å, with angles of 90.00, 90.00 and 90.00 degrees. The asymmetric unit holds Ta at (0.000, 0.000, 0.000), V at (0.500, 0.500, 0.500), S at (0.000, 0.000, 0.500) and Cl at (0.000, 0.500, 0.000).

The excess energy over the best structure of this formula in the dataset comes out at 0 meV per atom. The calculation puts the spin magnetization at 4.424 μB per formula unit.

5.
Material: TaWSCl2
Method: DFT, GGA-PBE
State: relaxed

The space group is P4/mmm (No. 123) and the conventional cell measures 4.794, 4.794 and 4.677 Å, with angles of 90.00, 90.00 and 90.00 degrees. The asymmetric unit holds Ta at (0.000, 0.000, 0.000), W at (0.500, 0.500, 0.500), S at (0.500, 0.500, 0.000) and Cl at (0.000, 0.500, 0.500).

The excess energy over the best structure of this formula in the dataset comes out at 231 meV per atom. The calculation puts the spin magnetization at 4.105 μB per formula unit.

6.
Material: TaWSCl2
Method: DFT, GGA-PBE
State: relaxed

The space group is P4/mmm (No. 123) and the conventional cell measures 4.803, 4.803 and 4.912 Å, with angles of 90.00, 90.00 and 90.00 degrees. The asymmetric unit holds Ta at (0.000, 0.000, 0.000), W at (0.500, 0.500, 0.500), S at (0.000, 0.000, 0.500) and Cl at (0.000, 0.500, 0.000).

The excess energy over the best structure of this formula in the dataset comes out at 0 meV per atom. The calculation puts the spin magnetization at 5.489 μB per formula unit.

7.
Material: YTaSCl2
Method: DFT, GGA-PBE
State: relaxed

The space group is P4/mmm (No. 123) and the conventional cell measures 4.832, 4.832 and 4.793 Å, with angles of 90.00, 90.00 and 90.00 degrees. The asymmetric unit holds Y at (0.000, 0.000, 0.000), Ta at (0.500, 0.500, 0.500), S at (0.500, 0.500, 0.000) and Cl at (0.000, 0.500, 0.500).

The excess energy over the best structure of this formula in the dataset comes out at 0 meV per atom. The calculation puts the spin magnetization at 0.064 μB per formula unit.

8.
Material: YTaS2Cl
Method: DFT, GGA-PBE
State: relaxed

The space group is P4/mmm (No. 123) and the conventional cell measures 4.785, 4.785 and 4.780 Å, with angles of 90.00, 90.00 and 90.00 degrees. The asymmetric unit holds Y at (0.000, 0.000, 0.000), Ta at (0.500, 0.500, 0.500), S at (0.000, 0.500, 0.500) and Cl at (0.500, 0.500, 0.000).

The excess energy over the best structure of this formula in the dataset comes out at 0 meV per atom. The calculation puts the spin magnetization at 0.000 μB per formula unit.

| no. | ΔE_f (raw) (eV per atom) |
| --- | --- |
| 1 | -0.78 |
| 2 | 1.11 |
| 3 | 0.38 |
| 4 | 0.10 |
| 5 | 1.04 |
| 6 | 0.81 |
| 7 | -0.44 |
| 8 | -0.69 |